# 1
Compound: SbTe3Pd
Source: Alexandria
Functional: PBE-GGA
Structure: optimized geometry

* space-group type: P-1, No. 2
* energy above the most stable polymorph in this dataset: 0.000 eV per atom
* energy: -39.1 eV/cell
* ΔE_f (raw): -0.166 eV per atom
* M_tot: 0.0 μB/cell

a = 4.0890 Å, b = 6.4570 Å, c = 11.7370 Å
α = 78.92°, β = 89.76°, γ = 71.82°
Last column: nearest neighbours and their distance in Å.
Element x y z (fractional)
1 Sb 0.8676 0.8315 0.1668  3 Te 2.92-3.21, 1 Sb 3.16
2 Sb 0.8206 0.9292 0.8923  3 Te 2.92-3.21, 1 Sb 3.16
3 Te 0.2723 0.0171 0.3593  2 Pd 2.74-2.75
4 Te 0.5327 0.4974 0.1550  1 Pd 2.75, 2 Sb 2.92
5 Te 0.1555 0.2634 0.9040  1 Pd 2.75, 2 Sb 2.92
6 Te 0.6825 0.1957 0.6269  3 Pd 2.72-2.76
7 Te 0.4159 0.7436 0.6998  2 Pd 2.74-2.75
8 Te 0.0058 0.5650 0.4322  3 Pd 2.72-2.76
9 Pd 0.0537 0.4615 0.6719  6 Te 2.72-2.76
10 Pd 0.6346 0.2992 0.3872  6 Te 2.72-2.76

***

# 2
Compound: Sb5TePd3
Source: Alexandria
Functional: PBE-GGA
Structure: optimized geometry

* space-group type: C2/m, No. 12
* energy: -81.4 eV/cell
* ΔE_f (raw): -0.153 eV per atom
* M_tot: 0.0 μB/cell

a = 6.5529 Å, b = 6.5529 Å, c = 11.6971 Å
α = 75.44°, β = 75.44°, γ = 85.25°
Last column: nearest neighbours and their distance in Å.
Element x y z (fractional)
1 Sb 0.9716 0.3692 0.3367  3 Pd 2.68-2.74
2 Sb 0.2993 0.7007 0.0000  3 Pd 2.66-2.73, 2 Sb 2.97
3 Sb 0.6877 0.6877 0.0896  3 Pd 2.76-3.03, 2 Sb 2.97
4 Sb 0.3654 0.3654 0.4237  3 Pd 2.72-2.93, 2 Sb 3.00
5 Sb 0.6346 0.6346 0.5763  3 Pd 2.72-2.93, 2 Sb 3.00
6 Sb 0.3123 0.3123 0.9104  3 Pd 2.76-3.03, 2 Sb 2.97
7 Sb 0.3692 0.9716 0.3367  3 Pd 2.68-2.74
8 Sb 0.7007 0.2993 0.0000  3 Pd 2.66-2.73, 2 Sb 2.97
9 Sb 0.0284 0.6308 0.6633  3 Pd 2.68-2.74
10 Sb 0.6308 0.0284 0.6633  3 Pd 2.68-2.74
11 Te 0.0314 0.0314 0.7566  2 Pd 2.75-2.76
12 Te 0.9686 0.9686 0.2434  2 Pd 2.75-2.76
13 Pd 0.6465 0.6465 0.8236  6 Sb 2.73-3.03
14 Pd 0.6656 0.6656 0.3309  5 Sb 2.68-2.78, 1 Te 2.75
15 Pd 0.0000 0.0000 0.0000  4 Sb 2.66-2.83, 2 Te 2.76
16 Pd 0.0000 0.0000 0.5000  4 Sb 2.70
17 Pd 0.3535 0.3535 0.1764  6 Sb 2.73-3.03
18 Pd 0.3344 0.3344 0.6691  5 Sb 2.68-2.78, 1 Te 2.75

***

# 3
Compound: Sb2Te2Pd7
Source: Alexandria
Functional: PBE-GGA
Structure: optimized geometry

* space-group type: C2/m, No. 12
* energy: -54.2 eV/cell
* ΔE_f (raw): -0.305 eV per atom
* M_tot: 0.0 μB/cell

a = 5.1703 Å, b = 6.7758 Å, c = 6.7758 Å
α = 93.60°, β = 73.80°, γ = 73.80°
Last column: nearest neighbours and their distance in Å.
Element x y z (fractional)
1 Sb 0.0000 0.2633 0.7367  6 Pd 2.67-2.84
2 Sb 0.0000 0.7367 0.2633  6 Pd 2.67-2.84
3 Te 0.5573 0.2639 0.2639  5 Pd 2.58-2.72
4 Te 0.4427 0.7361 0.7361  5 Pd 2.58-2.72
5 Pd 0.6862 0.0792 0.5848  2 Sb 2.67-2.84, 1 Te 2.72, 5 Pd 2.85-2.99
6 Pd 0.3138 0.4152 0.9208  2 Sb 2.67-2.84, 1 Te 2.72, 5 Pd 2.85-2.99
7 Pd 0.3138 0.9208 0.4152  2 Sb 2.67-2.84, 1 Te 2.72, 5 Pd 2.85-2.99
8 Pd 0.6862 0.5848 0.0792  2 Sb 2.67-2.84, 1 Te 2.72, 5 Pd 2.85-2.99
9 Pd 0.5000 0.0000 0.0000  2 Te 2.58, 4 Pd 2.85
10 Pd 0.9917 0.6616 0.6616  2 Te 2.63-2.69, 2 Sb 2.77
11 Pd 0.0083 0.3384 0.3384  2 Te 2.63-2.69, 2 Sb 2.77

***

# 4
Compound: SbTe5Pd3
Source: Alexandria
Functional: PBE-GGA
Structure: optimized geometry

* space-group type: C2/m, No. 12
* energy: -73.8 eV/cell
* ΔE_f (raw): -0.168 eV per atom
* M_tot: 0.0 μB/cell

a = 8.2553 Å, b = 8.2553 Å, c = 8.9238 Å
α = 67.41°, β = 67.41°, γ = 65.13°
Last column: nearest neighbours and their distance in Å.
Element x y z (fractional)
1 Sb 0.1398 0.1398 0.6608  3 Pd 2.72-2.90, 2 Te 3.01
2 Sb 0.8602 0.8602 0.3392  3 Pd 2.72-2.90, 2 Te 3.01
3 Te 0.9769 0.3596 0.3652  3 Pd 2.69-2.75, 1 Sb 3.01
4 Te 0.3070 0.6930 0.0000  3 Pd 2.73-2.75
5 Te 0.7961 0.7961 0.0086  3 Pd 2.70-2.80
6 Te 0.4711 0.4711 0.3224  3 Pd 2.71-2.90
7 Te 0.5289 0.5289 0.6776  3 Pd 2.71-2.90
8 Te 0.2039 0.2039 0.9914  3 Pd 2.70-2.80
9 Te 0.3596 0.9769 0.3652  3 Pd 2.69-2.75, 1 Sb 3.01
10 Te 0.6930 0.3070 0.0000  3 Pd 2.73-2.75
11 Te 0.0231 0.6404 0.6348  3 Pd 2.69-2.75, 1 Sb 3.01
12 Te 0.6404 0.0231 0.6348  3 Pd 2.69-2.75, 1 Sb 3.01
13 Pd 0.6712 0.6712 0.8352  6 Te 2.73-2.90
14 Pd 0.6639 0.6639 0.3427  5 Te 2.70-2.77, 1 Sb 2.72
15 Pd 0.0000 0.0000 0.0000  4 Te 2.73-2.80, 2 Sb 2.75
16 Pd 0.0000 0.0000 0.5000  4 Te 2.69, 2 Sb 2.90
17 Pd 0.3288 0.3288 0.1648  6 Te 2.73-2.90
18 Pd 0.3361 0.3361 0.6573  5 Te 2.70-2.77, 1 Sb 2.72